No. 1
TiTeBr | PBE | relaxed

D(E_F) in states/eV/f.u.: 1.54
Space group: P2_1/c
Magnetization in μB/f.u.: 0.00
Calculated total energy in eV/atom: -4.924

Cell and atoms, written as CIF:
```
data_TiTeBr
_chemical_formula_sum 'Ti4 Te4 Br4'
_cell_length_a 6.727
_cell_length_b 7.974
_cell_length_c 8.738
_cell_angle_alpha 47.05
_cell_angle_beta 90.00
_cell_angle_gamma 90.00
_symmetry_space_group_name_H-M 'P 1'
_symmetry_Int_Tables_number 1
loop_
_symmetry_equiv_pos_as_xyz
'x,y,z'
loop_
_atom_site_label
_atom_site_type_symbol
_atom_site_fract_x
_atom_site_fract_y
_atom_site_fract_z
Te1 Te 0.685 0.190 0.045
Te2 Te 0.815 0.690 0.545
Te3 Te 0.185 0.310 0.455
Te4 Te 0.315 0.810 0.955
Ti1 Ti 0.031 0.827 0.709
Ti2 Ti 0.531 0.673 0.791
Ti3 Ti 0.469 0.327 0.209
Ti4 Ti 0.969 0.173 0.291
Br1 Br 0.701 0.104 0.563
Br2 Br 0.299 0.896 0.437
Br3 Br 0.799 0.604 0.063
Br4 Br 0.201 0.396 0.937
```



No. 2
CuHgPt | PBE | relaxed

D(E_F) in states/eV/f.u.: 1.12
Space group: P3m1
Magnetization in μB/f.u.: 0.00
Energy of formation from the pure elements in meV/atom: 60
Calculated total energy in eV/atom: -3.419

Cell and atoms, written as CIF:
```
data_CuHgPt
_chemical_formula_sum 'Cu1 Hg1 Pt1'
_cell_length_a 4.419
_cell_length_b 4.419
_cell_length_c 2.915
_cell_angle_alpha 90.00
_cell_angle_beta 90.00
_cell_angle_gamma 120.00
_symmetry_space_group_name_H-M 'P 1'
_symmetry_Int_Tables_number 1
loop_
_symmetry_equiv_pos_as_xyz
'x,y,z'
loop_
_atom_site_label
_atom_site_type_symbol
_atom_site_fract_x
_atom_site_fract_y
_atom_site_fract_z
Hg1 Hg 0.333 0.667 0.285
Cu1 Cu 0.000 0.000 0.993
Pt1 Pt 0.667 0.333 0.722
```



No. 3
AlBSe2N | PBE | relaxed

D(E_F) in states/eV/f.u.: 3.51
Space group: P4/mmm
Magnetization in μB/f.u.: 0.78
Calculated total energy in eV/atom: -4.026

Cell and atoms, written as CIF:
```
data_AlBSe2N
_chemical_formula_sum 'Al1 B1 Se2 N1'
_cell_length_a 5.079
_cell_length_b 5.079
_cell_length_c 3.507
_cell_angle_alpha 90.00
_cell_angle_beta 90.00
_cell_angle_gamma 90.00
_symmetry_space_group_name_H-M 'P 1'
_symmetry_Int_Tables_number 1
loop_
_symmetry_equiv_pos_as_xyz
'x,y,z'
loop_
_atom_site_label
_atom_site_type_symbol
_atom_site_fract_x
_atom_site_fract_y
_atom_site_fract_z
Se1 Se 0.500 0.000 0.000
Se2 Se 0.000 0.500 0.000
N1 N 0.000 0.000 0.500
Al1 Al 0.000 0.000 0.000
B1 B 0.500 0.500 0.500
```



Across the entries above, ΔE to the lowest computed polymorph takes the values 0.68; 0.13; 4.97 eV/f.u., respectively.